No. 1
Material: Nb6Tc5Mo
Method: DFT, PBE
State: relaxed

The value obtained for the formation energy from the elements is -0.318 eV/atom. As for the calculated total energy: -10.574 eV per atom.

The space group is Immm (No. 71) and the conventional cell measures 4.5124, 6.4032 and 13.6042 Å, with angles of 90.00, 90.00 and 90.00 degrees. The distinct sites, in fractional coordinates, are Nb at (0.0000, 0.2497, 0.0000), Nb at (0.0000, 0.2501, 0.3332), Tc at (0.0000, 0.0000, 0.1667), Tc at (0.0000, 0.5000, 0.1678), Tc at (0.0000, 0.5000, 0.5000) and Mo at (0.0000, 0.0000, 0.5000).

No. 2
Material: NdSm2DyS4
Method: DFT, PBE
State: relaxed

As for the calculated total energy: -6.425 eV per atom. The raw formation energy is -16.085 eV per formula unit.

The space group is P2/m (No. 10) and the conventional cell measures 6.9291, 3.9611 and 6.9743 Å, with angles of 90.00, 109.01 and 90.00 degrees. The distinct sites, in fractional coordinates, are Nd at (0.0000, 0.0000, 0.0000), Sm at (0.5000, 0.0000, 0.5000), Sm at (0.5000, 0.5000, 0.0000), Dy at (0.0000, 0.5000, 0.5000), S at (0.2446, 0.0000, 0.7410) and S at (0.2502, 0.5000, 0.2574).

No. 3
Material: K3Nd2SmSe6
Method: DFT, PBE
State: relaxed

As for the calculated total energy: -4.960 eV per atom. The raw formation energy is -21.070 eV per formula unit.

The space group is C2/m (No. 12) and the conventional cell measures 7.5053, 12.9992 and 8.1025 Å, with angles of 90.00, 107.99 and 90.00 degrees. The distinct sites, in fractional coordinates, are K at (0.0000, 0.0000, 0.0000), K at (0.0000, 0.3328, 0.0000), Nd at (0.0000, 0.1666, 0.5000), Sm at (0.0000, 0.5000, 0.5000), Se at (0.2354, 0.3348, 0.7103) and Se at (0.2397, 0.0000, 0.7104).

No. 4
Material: Na2In3Sn2
Method: DFT, PBE
State: relaxed

The value obtained for the formation energy from the elements is -0.083 eV/atom. As for the calculated total energy: -2.778 eV per atom.

The space group is C2/m (No. 12) and the conventional cell measures 11.0822, 4.7807 and 7.3985 Å, with angles of 90.00, 93.74 and 90.00 degrees. The distinct sites, in fractional coordinates, are Na at (0.1024, 0.0000, 0.3091), In at (0.0000, 0.5000, 0.0000), In at (0.2050, 0.0000, 0.8649) and Sn at (0.1075, 0.5000, 0.6326).

No. 5
Material: Ho8AsP3Se4
Method: DFT, PBE
State: relaxed

As for the calculated total energy: -6.216 eV per atom. The raw formation energy is -28.017 eV per formula unit.

The space group is R-3m (No. 166, hexagonal axes) and the conventional cell measures 8.0414, 8.0414 and 19.9963 Å, with angles of 90.00, 90.00 and 120.00 degrees. The distinct sites, in fractional coordinates, are Ho at (0.0000, 0.0000, 0.2425), Ho at (0.0055, 0.5028, 0.7564), As at (0.0000, 0.0000, 0.5000), P at (0.0000, 0.5000, 0.5000), Se at (0.0000, 0.0000, 0.0000) and Se at (0.0000, 0.5000, 0.0000).

No. 6
Material: BaTl2Hg5
Method: DFT, PBE
State: relaxed

The value obtained for the formation energy from the elements is -0.187 eV/atom. As for the calculated total energy: -1.207 eV per atom.

The space group is I4/mcm (No. 140) and the conventional cell measures 8.5132, 8.5132 and 13.7367 Å, with angles of 90.00, 90.00 and 90.00 degrees. The distinct sites, in fractional coordinates, are Ba at (0.0000, 0.0000, 0.2500), Tl at (0.1617, 0.3383, 0.0000), Hg at (0.0000, 0.0000, 0.0000) and Hg at (0.1358, 0.3642, 0.3377).

No. 7
Material: ZnGeAsIrAu
Method: DFT, PBE
State: relaxed

The value obtained for the formation energy from the elements is 0.012 eV/atom. As for the calculated total energy: -4.524 eV per atom.

The space group is P1 (No. 1) and the conventional cell measures 4.6070, 4.7139 and 4.7494 Å, with angles of 94.64, 97.45 and 99.98 degrees. The distinct sites, in fractional coordinates, are Zn at (0.0000, 0.0000, 0.0000), Ge at (0.6325, 0.3078, 0.4728), As at (0.3759, 0.7185, 0.8183), Ir at (0.5601, 0.2517, 0.9589) and Au at (0.1206, 0.5433, 0.2885).

No. 8
Material: Ca3ZnAu3
Method: DFT, PBE
State: relaxed

The value obtained for the formation energy from the elements is -0.709 eV/atom. As for the calculated total energy: -3.153 eV per atom.

The space group is C2/m (No. 12) and the conventional cell measures 11.0873, 4.3365 and 15.1081 Å, with angles of 90.00, 109.47 and 90.00 degrees. The distinct sites, in fractional coordinates, are Ca at (0.0262, 0.0000, 0.3863), Ca at (0.1046, 0.0000, 0.9220), Ca at (0.2420, 0.0000, 0.2312), Zn at (0.2322, 0.5000, 0.3959), Au at (0.0280, 0.5000, 0.2373), Au at (0.1183, 0.5000, 0.0779) and Au at (0.1371, 0.5000, 0.5465).

No. 9
Material: Ac6AgGe2
Method: DFT, PBE
State: relaxed

The value obtained for the formation energy from the elements is -0.253 eV/atom. As for the calculated total energy: -4.335 eV per atom.

The space group is C2/m (No. 12) and the conventional cell measures 17.2082, 7.6903 and 5.3480 Å, with angles of 90.00, 108.06 and 90.00 degrees. The distinct sites, in fractional coordinates, are Ac at (0.0000, 0.2441, 0.0000), Ac at (0.1670, 0.2505, 0.6669), Ag at (0.0000, 0.5000, 0.5000) and Ge at (0.1681, 0.0000, 0.1681).

No. 10
Material: ThPaTl2O6
Method: DFT, PBE
State: relaxed

As for the calculated total energy: -7.655 eV per atom. The raw formation energy is -25.152 eV per formula unit.

The space group is C2/m (No. 12) and the conventional cell measures 10.7681, 6.3298 and 6.2587 Å, with angles of 90.00, 125.22 and 90.00 degrees. The distinct sites, in fractional coordinates, are Th at (0.0000, 0.0000, 0.0000), Pa at (0.0000, 0.5000, 0.5000), Tl at (0.2501, 0.0000, 0.7348), O at (0.0483, 0.2567, 0.3059) and O at (0.2412, 0.5000, 0.8261).

No. 11
Material: La2IrS2
Method: DFT, PBE
State: relaxed

As for the calculated total energy: -6.598 eV per atom. The raw formation energy is -6.021 eV per formula unit.

The space group is P4/mbm (No. 127) and the conventional cell measures 7.5083, 7.5083 and 3.8744 Å, with angles of 90.00, 90.00 and 90.00 degrees. The distinct sites, in fractional coordinates, are La at (0.1641, 0.3359, 0.0000), Ir at (0.0000, 0.0000, 0.5000) and S at (0.1516, 0.6516, 0.5000).

No. 12
Material: CaCuF2
Method: DFT, PBE
State: relaxed

As for the calculated total energy: -4.731 eV per atom. The raw formation energy is -9.083 eV per formula unit.

The space group is R-3m (No. 166, hexagonal axes) and the conventional cell measures 3.4544, 3.4544 and 22.9480 Å, with angles of 90.00, 90.00 and 120.00 degrees. The distinct sites, in fractional coordinates, are Ca at (0.0000, 0.0000, 0.0000), Cu at (0.0000, 0.0000, 0.5000) and F at (0.0000, 0.0000, 0.3782).